5
Lattice="5.823 0.000 0.000 0.000 5.823 0.000 0.000 0.000 4.810" Properties=species:S:1:pos:R:3 comment="La2ZrMnHg PBE-GGA optimized geometry" n_ef_per_ev_cell=11.77 e_tot_ry_per_atom=-0.3284 delta_e_f_ev_per_fu=5.53 total_magnetization_mub_per_cell=0.1 pbc="T T T"
La 0.000 2.912 0.000
La 2.912 0.000 0.000
Zr 0.000 0.000 2.405
Mn 2.912 2.912 2.405
Hg 2.912 2.912 0.000